DFT (PBE) results for TbDyPa2Sb4 after structural relaxation.

Unit cell a=4.3734 b=7.5700 c=7.6239 alpha=109.35 beta=90.00 gamma=90.00
Closest atoms and distances in Å follow each position.
Fractional coordinates of all 8 atoms:
Tb 0.0000 0.0000 0.0000  6 Sb 3.10
Dy 0.5000 0.5000 0.0000  6 Sb 3.09
Pa 0.5000 0.0000 0.5000  6 Sb 3.11
Pa 0.0000 0.5000 0.5000  6 Sb 3.10
Sb 0.5000 0.2503 0.2491  1 Dy 3.09, 2 Tb 3.10, 3 Pa 3.10-3.11
Sb 0.5000 0.7497 0.7509  1 Dy 3.09, 2 Tb 3.10, 3 Pa 3.10-3.11
Sb 0.0000 0.2510 0.7513  2 Dy 3.09, 1 Tb 3.10, 3 Pa 3.10-3.11
Sb 0.0000 0.7490 0.2487  2 Dy 3.09, 1 Tb 3.10, 3 Pa 3.10-3.11

Calculated total energy = -50.9 eV per cell
N(E_F) = 12.3 states/eV/f.u.
Size of the total moment = 1.99 μB/cell